Co3Re | PBE-GGA | optimized geometry

## Properties
Its calculated volume is 11.78 A^3/atom. The value obtained for the formation enthalpy at 0 K is 0.11 eV/atom.

a = 4.3983 Å, b = 4.3983 Å, c = 2.5786 Å
α = 90.00°, β = 90.00°, γ = 109.17°
Closest atoms and distances in Å follow each position.
Positions (direct):
Re 0.5000 0.5000 0.0000  10 Co 2.55, 2 Re 2.58
Co 0.0000 0.0000 0.0000  2 Re 2.55, 10 Co 2.55-2.58
Co 0.5000 0.0000 0.5000  8 Co 2.55-2.58, 4 Re 2.55
Co 0.0000 0.5000 0.5000  8 Co 2.55-2.58, 4 Re 2.55